VASP calculation (PBE with a Hubbard U) on a relaxed MnTl3F crystal.

Its crystal system is cubic. Its total energy is -3.2603 eV/atom.

The space group is Pm-3m (No. 221) and the conventional cell measures 5.510, 5.510 and 5.510 Å, with angles of 90.00, 90.00 and 90.00 degrees. The distinct sites, in fractional coordinates, are Mn at (0.000, 0.000, 0.000), Tl at (0.000, 0.000, 0.500) and F at (0.500, 0.500, 0.500).